Density functional theory data (PBEsol) for a geometry-optimized Sr2NiP structure.

## Properties
**Energy of formation**: -0.60 eV per atom
**Total magnetization**: 0.000 μB per atom

CIF file:
```
data_Sr2NiP
_cell_length_a 4.1540
_cell_length_b 4.5010
_cell_length_c 10.4666
_cell_angle_alpha 90.00
_cell_angle_beta 90.00
_cell_angle_gamma 90.00
_space_group_name_H-M_alt 'A m m 2'
_space_group_IT_number 38
_space_group_name_Hall 'A 2 -2'
loop_
_atom_site_label
_atom_site_type_symbol
_atom_site_fract_x
_atom_site_fract_y
_atom_site_fract_z
Sr1 Sr 0.0000 0.0000 0.0000
Sr2 Sr 0.5000 0.0000 0.2875
Ni1 Ni 0.5000 0.0000 0.6082
P1 P 0.0000 0.0000 0.6907
```